(1)
An optimized crystal structure of Tl2OsAu. Source: the Alexandria database, functional PBE-GGA.

The space group is No. 10.

abc: 3.580 3.551 6.309
angles: 90.00 90.23 90.00
Element x y z (fractional)
Tl (0.001, 0.000, 0.240)
Tl (0.999, 0.000, 0.760)
Os (0.500, 0.500, 0.000)
Au (0.500, 0.500, 0.500)

***

(2)
An optimized crystal structure of V2CuGe2. Source: the Alexandria database, functional PBE-GGA.

The space group is No. 127.

abc: 6.462 6.462 3.432
angles: 90.00 90.00 90.00
Element x y z (fractional)
V (0.158, 0.342, 0.000)
V (0.342, 0.842, 0.000)
V (0.658, 0.158, 0.000)
V (0.842, 0.658, 0.000)
Cu (0.000, 0.000, 0.500)
Cu (0.500, 0.500, 0.500)
Ge (0.142, 0.642, 0.500)
Ge (0.358, 0.142, 0.500)
Ge (0.642, 0.858, 0.500)
Ge (0.858, 0.358, 0.500)

***

(3)
An optimized crystal structure of HoHfAlOs. Source: the Alexandria database, functional PBE-GGA.

The space group is No. 216.

abc: 4.786 4.786 4.786
angles: 60.00 60.00 60.00
Element x y z (fractional)
Ho (0.000, 0.000, 0.000)
Hf (0.500, 0.500, 0.500)
Al (0.250, 0.250, 0.250)
Os (0.750, 0.750, 0.750)

***

(4)
An optimized crystal structure of Pr12HoTm7. Source: the Alexandria database, functional PBE-GGA.

The space group is No. 166.

abc: 11.556 11.556 11.556
angles: 116.82 116.82 116.82
Element x y z (fractional)
Pr (0.000, 0.412, 0.588)
Pr (0.000, 0.588, 0.412)
Pr (0.082, 0.082, 0.434)
Pr (0.082, 0.434, 0.082)
Pr (0.412, 0.000, 0.588)
Pr (0.412, 0.588, 0.000)
Pr (0.434, 0.082, 0.082)
Pr (0.566, 0.918, 0.918)
Pr (0.588, 0.000, 0.412)
Pr (0.588, 0.412, 0.000)
Pr (0.918, 0.566, 0.918)
Pr (0.918, 0.918, 0.566)
Ho (0.500, 0.500, 0.500)
Tm (0.000, 0.000, 0.000)
Tm (0.134, 0.377, 0.377)
Tm (0.377, 0.134, 0.377)
Tm (0.377, 0.377, 0.134)
Tm (0.623, 0.623, 0.866)
Tm (0.623, 0.866, 0.623)
Tm (0.866, 0.623, 0.623)

***

(5)
An optimized crystal structure of CaCoHg. Source: the Alexandria database, functional PBE-GGA.

The space group is No. 2.

abc: 3.881 4.201 8.400
angles: 75.63 89.92 90.00
Element x y z (fractional)
Ca (0.249, 0.402, 0.195)
Ca (0.751, 0.598, 0.805)
Co (0.250, 0.032, 0.936)
Co (0.750, 0.968, 0.064)
Hg (0.251, 0.198, 0.606)
Hg (0.749, 0.802, 0.394)

***

(6)
An optimized crystal structure of NdHoP. Source: the Alexandria database, functional PBE-GGA.

The space group is No. 63.

abc: 6.472 6.472 5.777
angles: 90.00 90.00 127.62
Element x y z (fractional)
Nd (0.207, 0.793, 0.750)
Nd (0.793, 0.207, 0.250)
Ho (0.500, 0.500, 0.000)
Ho (0.500, 0.500, 0.500)
P (0.297, 0.703, 0.250)
P (0.703, 0.297, 0.750)

***

(7)
An optimized crystal structure of Ca6Pd5Au. Source: the Alexandria database, functional PBE-GGA.

The space group is No. 71.

abc: 8.690 8.690 8.690
angles: 146.49 131.59 60.16
Element x y z (fractional)
Ca (0.079, 0.331, 0.748)
Ca (0.246, 0.000, 0.246)
Ca (0.417, 0.669, 0.748)
Ca (0.583, 0.331, 0.252)
Ca (0.754, 0.000, 0.754)
Ca (0.921, 0.669, 0.252)
Pd (0.000, 0.500, 0.500)
Pd (0.166, 0.166, 0.000)
Pd (0.333, 0.833, 0.500)
Pd (0.667, 0.167, 0.500)
Pd (0.834, 0.834, 0.000)
Au (0.500, 0.500, 0.000)

***

(8)
An optimized crystal structure of LaGe3Ir. Source: the Alexandria database, functional PBE-GGA.

The space group is No. 221.

abc: 4.888 4.888 4.888
angles: 90.00 90.00 90.00
Element x y z (fractional)
La (0.000, 0.000, 0.000)
Ge (0.000, 0.500, 0.500)
Ge (0.500, 0.000, 0.500)
Ge (0.500, 0.500, 0.000)
Ir (0.500, 0.500, 0.500)

***

(9)
An optimized crystal structure of Y3C4. Source: the Alexandria database, functional PBE-GGA.

The space group is No. 221.

abc: 5.028 5.028 5.028
angles: 90.00 90.00 90.00
Element x y z (fractional)
Y (0.000, 0.000, 0.500)
Y (0.000, 0.500, 0.000)
Y (0.500, 0.000, 0.000)
C (0.000, 0.000, 0.000)
C (0.000, 0.500, 0.500)
C (0.500, 0.000, 0.500)
C (0.500, 0.500, 0.000)

***

(10)
An optimized crystal structure of Tb6CeTh. Source: the Alexandria database, functional PBE-GGA.

The space group is No. 2.

abc: 6.436 6.811 6.821
angles: 60.43 82.36 79.76
Element x y z (fractional)
Tb (0.230, 0.094, 0.427)
Tb (0.253, 0.557, 0.440)
Tb (0.262, 0.570, 0.906)
Tb (0.738, 0.430, 0.094)
Tb (0.747, 0.443, 0.560)
Tb (0.770, 0.906, 0.573)
Ce (0.000, 0.000, 0.000)
Th (0.500, 0.000, 0.000)

***

(11)
An optimized crystal structure of CaTl15Pb4. Source: the Alexandria database, functional PBE-GGA.

The space group is No. 123.

abc: 5.248 5.248 22.055
angles: 90.00 90.00 90.00
Element x y z (fractional)
Ca (0.000, 0.000, 0.000)
Tl (0.000, 0.500, 0.098)
Tl (0.000, 0.500, 0.297)
Tl (0.000, 0.500, 0.500)
Tl (0.000, 0.500, 0.703)
Tl (0.000, 0.500, 0.902)
Tl (0.500, 0.000, 0.098)
Tl (0.500, 0.000, 0.297)
Tl (0.500, 0.000, 0.500)
Tl (0.500, 0.000, 0.703)
Tl (0.500, 0.000, 0.902)
Tl (0.500, 0.500, 0.000)
Tl (0.500, 0.500, 0.198)
Tl (0.500, 0.500, 0.398)
Tl (0.500, 0.500, 0.602)
Tl (0.500, 0.500, 0.802)
Pb (0.000, 0.000, 0.192)
Pb (0.000, 0.000, 0.398)
Pb (0.000, 0.000, 0.602)
Pb (0.000, 0.000, 0.808)

***

(12)
An optimized crystal structure of ZnBPt2Pb. Source: the Alexandria database, functional PBE-GGA.

The space group is No. 123.

abc: 5.146 5.146 5.093
angles: 90.00 90.00 90.00
Element x y z (fractional)
Zn (0.000, 0.000, 0.000)
B (0.500, 0.500, 0.000)
Pt (0.000, 0.500, 0.500)
Pt (0.500, 0.000, 0.500)
Pb (0.000, 0.000, 0.500)

***

Computed formation energy, in the same sequence as the records: 766.2, -34.4, -311.9, 224.0, -111.9, -489.0, -701.3, -58.6, 1060.7, 227.9, -37.4, 1832.3 meV/atom.